(1)
A plane-wave DFT calculation with PBE was carried out for Y2Mn after structural relaxation.

```
Y2Mn
1.0
-5.811 4.504 -3.892
5.111 -4.880 -4.389
-2.503 -2.931 0.345
Y Mn
6 3
Direct
0.250 0.000 0.000
0.000 0.250 0.000
0.596 0.000 0.500
0.404 0.404 0.500
0.750 0.750 0.000
0.000 0.596 0.500
0.000 0.000 0.500
0.333 0.667 0.000
0.667 0.333 0.000
```

Calculated values
spin magnetization = 5.843 μB per cell
DFT formation energy = 0.17 eV/atom
total energy = -7.1956 eV/atom

---

(2)
A plane-wave DFT calculation with PBE was carried out for CsReSbRh2 after structural relaxation.

```
CsReSbRh2
1.0
-0.919 -3.342 -3.376
5.347 -1.627 0.155
-1.075 -3.203 3.463
Rh Re Sb Cs
2 1 1 1
Direct
0.000 0.000 0.500
0.500 0.000 0.000
0.000 0.000 0.000
0.500 0.500 0.500
0.000 0.500 0.000
```

Calculated values
spin magnetization = 0.001 μB per cell
energy relative to the elements, uncorrected = 1.442 eV/atom
total energy = -4.9837 eV/atom

---

(3)
A plane-wave DFT calculation with PBE was carried out for Cs2TlPt after structural relaxation.

```
Cs2TlPt
1.0
4.471 0.000 0.000
2.235 3.872 0.000
2.235 1.291 11.645
Cs Tl Pt
2 1 1
Direct
0.110 0.110 0.670
0.890 0.890 0.330
0.000 0.000 0.000
0.500 0.500 0.500
```

Calculated values
spin magnetization = 0.000 μB per cell
DFT formation energy = 0.31 eV/atom
energy above the lowest structure with this stoichiometry = 431.7 meV/atom
total energy = -2.2150 eV/atom

---

(4)
A plane-wave DFT calculation with PBE was carried out for TlCrSi2 after structural relaxation.

```
TlCrSi2
1.0
-1.720 -0.967 -3.504
1.353 -3.164 0.209
-3.306 -3.143 2.491
Cr Si Tl
1 2 1
Direct
0.500 0.926 0.773
0.500 0.239 0.145
0.000 0.799 0.026
0.000 0.536 0.556
```

Calculated values
spin magnetization = 0.002 μB per cell
energy relative to the elements, uncorrected = 0.466 eV/atom
energy above the lowest structure with this stoichiometry = 228.7 meV/atom
total energy = -5.2429 eV/atom

---

(5)
A plane-wave DFT calculation with PBE was carried out for HgMoOs2Ru after structural relaxation.

```
HgMoOs2Ru
1.0
-2.402 -3.931 -0.610
3.564 -2.443 1.710
-1.904 0.448 4.609
Os Hg Mo Ru
2 1 1 1
Direct
0.000 0.500 0.000
0.500 0.000 0.000
0.000 0.000 0.500
0.500 0.500 0.500
0.000 0.000 0.000
```

Calculated values
spin magnetization = 3.178 μB per cell
DFT formation energy = 2.17 eV/atom
total energy = -6.3999 eV/atom

---

(6)
A plane-wave DFT calculation with PBE was carried out for LiTaCoN3 after structural relaxation.

```
LiTaCoN3
1.0
-2.725 -1.331 -0.707
1.773 -5.092 2.753
-3.874 4.837 5.829
Li N Co Ta
2 6 2 2
Direct
0.750 0.823 0.866
0.250 0.177 0.134
0.750 0.918 0.156
0.250 0.812 0.406
0.250 0.571 0.884
0.250 0.082 0.844
0.750 0.429 0.116
0.750 0.188 0.594
0.750 0.965 0.390
0.250 0.035 0.610
0.250 0.682 0.134
0.750 0.318 0.866
```

Calculated values
spin magnetization = 0.137 μB per cell
energy relative to the elements, uncorrected = -0.490 eV/atom
total energy = -8.1314 eV/atom